# PmGdHoAg

A geometry-optimized PmGdHoAg structure (PBE, Alexandria via LeMat-Bulk).

## Properties
* ρ: 8.69 Mg/m³
* M_tot: 9.40 μB/cell
* raw total energy: -6.482 eV per atom
* N(E_F): 4.6 states/eV per cell
* space group: F-43m

abc: 5.377 5.377 5.377
angles: 60.00 60.00 60.00
Element x y z (fractional)
Pm1 0.500 0.500 0.500
Ho1 0.750 0.750 0.750
Gd1 0.250 0.250 0.250
Ag1 0.000 0.000 0.000

=====

# Sc2CuCl

A geometry-optimized Sc2CuCl structure (PBE, Alexandria via LeMat-Bulk).

## Properties
* ρ: 4.13 Mg/m³
* M_tot: 0.77 μB/cell
* raw total energy: -5.187 eV per atom
* N(E_F): 3.2 states/eV per cell
* space group: P4/mmm

abc: 3.170 3.170 7.552
angles: 90.00 90.00 90.03
Element x y z (fractional)
Cl1 0.500 0.500 0.250
Sc1 0.000 0.000 0.970
Sc2 0.000 0.000 0.530
Cu1 0.500 0.500 0.750

=====

# Cs7Tl2Hg2

A geometry-optimized Cs7Tl2Hg2 structure (PBE, Alexandria via LeMat-Bulk).

## Properties
* ρ: 4.05 Mg/m³
* M_tot: 0.00 μB/cell
* raw total energy: -1.115 eV per atom
* N(E_F): 9.3 states/eV per cell
* space group: C2/m

abc: 8.178 8.178 11.219
angles: 93.52 93.52 106.97
Element x y z (fractional)
Cs1 0.105 0.504 0.789
Cs2 0.000 0.000 0.000
Cs3 0.504 0.105 0.789
Cs4 0.496 0.895 0.211
Cs5 0.255 0.255 0.427
Cs6 0.895 0.496 0.211
Cs7 0.745 0.745 0.573
Tl1 0.608 0.608 0.914
Tl2 0.392 0.392 0.086
Hg1 0.757 0.243 0.500
Hg2 0.243 0.757 0.500

=====

# LaMn2Se

A geometry-optimized LaMn2Se structure (PBE, Alexandria via LeMat-Bulk).

## Properties
* ρ: 7.04 Mg/m³
* M_tot: 2.61 μB/cell
* raw total energy: -6.790 eV per atom
* N(E_F): 2.6 states/eV per cell
* space group: C2/m

abc: 4.165 4.165 5.689
angles: 68.38 68.38 60.01
Element x y z (fractional)
La1 0.250 0.250 0.250
Mn1 0.436 0.436 0.691
Mn2 0.064 0.064 0.809
Se1 0.750 0.750 0.750

=====

# KVIr3

A geometry-optimized KVIr3 structure (PBE, Alexandria via LeMat-Bulk).

## Properties
* ρ: 11.00 Mg/m³
* M_tot: 0.00 μB/cell
* raw total energy: -6.370 eV per atom
* N(E_F): 4.7 states/eV per cell
* space group: Pm-3m

abc: 4.652 4.652 4.652
angles: 90.00 90.00 90.00
Element x y z (fractional)
K1 0.500 0.500 0.500
Ir1 0.000 0.500 0.000
Ir2 0.500 0.000 0.000
Ir3 0.000 0.000 0.500
V1 0.000 0.000 0.000

=====

# TmPa2Co6

A geometry-optimized TmPa2Co6 structure (PBE, Alexandria via LeMat-Bulk).

## Properties
* ρ: 11.13 Mg/m³
* M_tot: 0.00 μB/cell
* raw total energy: -7.407 eV per atom
* N(E_F): 10.0 states/eV per cell
* space group: Immm

abc: 3.471 7.411 7.411
angles: 52.98 76.46 76.46
Element x y z (fractional)
Pa1 0.154 0.346 0.346
Pa2 0.846 0.654 0.654
Co1 0.673 0.040 0.615
Co2 0.327 0.960 0.385
Co3 0.500 0.675 0.325
Co4 0.673 0.615 0.040
Co5 0.500 0.325 0.675
Co6 0.327 0.385 0.960
Tm1 0.000 0.000 0.000

=====

# Sm6PbSe3S2

A geometry-optimized Sm6PbSe3S2 structure (PBE, Alexandria via LeMat-Bulk).

## Properties
* ρ: 7.50 Mg/m³
* M_tot: 0.00 μB/cell
* raw total energy: -5.875 eV per atom
* N(E_F): 4.6 states/eV per cell
* space group: C2/m

abc: 4.159 8.438 9.390
angles: 103.41 102.79 90.00
Element x y z (fractional)
Sm1 0.672 0.105 0.344
Sm2 0.007 0.265 0.015
Sm3 0.328 0.895 0.656
Sm4 0.672 0.573 0.345
Sm5 0.993 0.735 0.985
Sm6 0.328 0.427 0.655
S1 0.168 0.337 0.337
S2 0.832 0.663 0.663
Se1 0.837 0.168 0.673
Se2 0.163 0.832 0.327
Se3 0.500 0.500 0.000
Pb1 0.500 0.000 0.000

=====

# Sr3Re

A geometry-optimized Sr3Re structure (PBE, Alexandria via LeMat-Bulk).

## Properties
* ρ: 5.04 Mg/m³
* M_tot: 1.14 μB/cell
* raw total energy: -3.379 eV per atom
* N(E_F): 5.6 states/eV per cell
* space group: P-6m2

abc: 3.794 3.794 11.871
angles: 90.00 90.00 120.00
Element x y z (fractional)
Sr1 0.000 0.000 0.500
Sr2 0.667 0.333 0.187
Sr3 0.667 0.333 0.813
Re1 0.000 0.000 0.000

=====

# Fe2Co2Hg

A geometry-optimized Fe2Co2Hg structure (PBE, Alexandria via LeMat-Bulk).

## Properties
* ρ: 10.58 Mg/m³
* M_tot: 16.71 μB/cell
* raw total energy: -6.037 eV per atom
* N(E_F): 6.2 states/eV per cell
* space group: P4/mbm

abc: 6.981 6.981 2.772
angles: 90.00 90.00 90.00
Element x y z (fractional)
Co1 0.366 0.866 0.000
Co2 0.634 0.134 0.000
Co3 0.866 0.634 0.000
Co4 0.134 0.366 0.000
Fe1 0.346 0.154 0.500
Fe2 0.654 0.846 0.500
Fe3 0.846 0.346 0.500
Fe4 0.154 0.654 0.500
Hg1 0.500 0.500 0.000
Hg2 0.000 0.000 0.000

=====

# Pa4PRuS2

A geometry-optimized Pa4PRuS2 structure (PBE, Alexandria via LeMat-Bulk).

## Properties
* ρ: 10.71 Mg/m³
* M_tot: 0.00 μB/cell
* raw total energy: -8.797 eV per atom
* N(E_F): 11.0 states/eV per cell
* space group: P2/m

abc: 3.826 6.866 6.946
angles: 72.21 90.00 90.00
Element x y z (fractional)
Pa1 0.500 0.253 0.753
Pa2 0.500 0.747 0.247
Pa3 0.000 0.255 0.245
Pa4 0.000 0.745 0.755
S1 0.000 0.000 0.000
S2 0.500 0.000 0.500
P1 0.000 0.500 0.500
Ru1 0.500 0.500 0.000

=====

# Zn2FeSe

A geometry-optimized Zn2FeSe structure (PBE, Alexandria via LeMat-Bulk).

## Properties
* ρ: 6.70 Mg/m³
* M_tot: 2.63 μB/cell
* raw total energy: -3.398 eV per atom
* N(E_F): 2.7 states/eV per cell
* space group: P2/m

abc: 5.526 2.845 4.190
angles: 92.23 90.00 90.00
Element x y z (fractional)
Zn1 0.000 0.499 0.498
Zn2 0.000 0.001 0.002
Fe1 0.500 0.250 0.250
Se1 0.500 0.750 0.750

=====

# La2TlCoPb

A geometry-optimized La2TlCoPb structure (PBE, Alexandria via LeMat-Bulk).

## Properties
* ρ: 8.74 Mg/m³
* M_tot: 0.00 μB/cell
* raw total energy: -4.935 eV per atom
* N(E_F): 3.7 states/eV per cell
* space group: P4/mmm

abc: 5.306 5.306 5.051
angles: 90.00 90.00 90.00
Element x y z (fractional)
Pb1 0.000 0.000 0.500
Tl1 0.500 0.500 0.500
Co1 0.000 0.000 0.000
La1 0.500 0.000 0.000
La2 0.000 0.500 0.000

=====

# ZrGaCu

A geometry-optimized ZrGaCu structure (PBE, Alexandria via LeMat-Bulk).

## Properties
* ρ: 7.06 Mg/m³
* M_tot: 0.00 μB/cell
* raw total energy: -5.550 eV per atom
* N(E_F): 3.4 states/eV per cell
* space group: R3m

abc: 4.237 4.236 7.220
angles: 107.01 90.00 120.01
Element x y z (fractional)
Ga1 0.580 0.006 0.146
Ga2 0.416 0.678 0.654
Cu1 0.709 0.263 0.531
Cu2 0.245 0.337 0.142
Zr1 0.996 0.839 0.394
Zr2 0.835 0.516 0.910

=====

# La4Pr6Sm

A geometry-optimized La4Pr6Sm structure (PBE, Alexandria via LeMat-Bulk).

## Properties
* ρ: 6.27 Mg/m³
* M_tot: 0.00 μB/cell
* raw total energy: -4.569 eV per atom
* N(E_F): 17.5 states/eV per cell
* space group: I-42m

abc: 9.759 9.759 9.759
angles: 60.82 138.05 138.05
Element x y z (fractional)
La1 0.000 0.005 0.633
La2 0.628 0.995 0.995
La3 0.000 0.633 0.005
La4 0.372 0.367 0.367
Pr1 0.000 0.449 0.781
Pr2 0.667 0.219 0.219
Pr3 0.000 0.781 0.449
Pr4 0.500 0.500 0.000
Pr5 0.333 0.551 0.551
Pr6 0.500 0.000 0.500
Sm1 0.000 0.000 0.000

=====

# Mg4Zn4Ga

A geometry-optimized Mg4Zn4Ga structure (PBE, Alexandria via LeMat-Bulk).

## Properties
* ρ: 3.75 Mg/m³
* M_tot: 0.00 μB/cell
* raw total energy: -1.544 eV per atom
* N(E_F): 5.6 states/eV per cell
* space group: P4_2/n

abc: 5.428 8.357 8.357
angles: 90.00 90.00 90.00
Element x y z (fractional)
Zn1 0.118 0.872 0.004
Zn2 0.882 0.372 0.504
Zn3 0.118 0.628 0.496
Zn4 0.382 0.496 0.872
Zn5 0.382 0.004 0.628
Zn6 0.882 0.128 0.996
Zn7 0.618 0.504 0.128
Zn8 0.618 0.996 0.372
Ga1 0.250 0.750 0.750
Ga2 0.750 0.250 0.250
Mg1 0.115 0.939 0.325
Mg2 0.115 0.561 0.175
Mg3 0.885 0.439 0.825
Mg4 0.885 0.061 0.675
Mg5 0.385 0.175 0.939
Mg6 0.615 0.825 0.061
Mg7 0.615 0.675 0.439
Mg8 0.385 0.325 0.561

=====

# KSc2Te

A geometry-optimized KSc2Te structure (PBE, Alexandria via LeMat-Bulk).

## Properties
* ρ: 3.47 Mg/m³
* M_tot: 0.00 μB/cell
* raw total energy: -4.287 eV per atom
* N(E_F): 5.2 states/eV per cell
* space group: P2/m

abc: 5.052 3.728 6.661
angles: 77.92 90.00 90.00
Element x y z (fractional)
Te1 0.500 0.250 0.250
Sc1 0.000 0.085 0.059
Sc2 0.000 0.415 0.441
K1 0.500 0.750 0.750

=====

# GaRe3H

A geometry-optimized GaRe3H structure (PBE, Alexandria via LeMat-Bulk).

## Properties
* ρ: 16.76 Mg/m³
* M_tot: 0.00 μB/cell
* raw total energy: -8.311 eV per atom
* N(E_F): 5.0 states/eV per cell
* space group: Pm-3m

abc: 3.966 3.966 3.966
angles: 90.00 90.00 90.00
Element x y z (fractional)
H1 0.000 0.000 0.000
Ga1 0.500 0.500 0.500
Re1 0.000 0.000 0.500
Re2 0.000 0.500 0.000
Re3 0.500 0.000 0.000

=====

# TaHgPd2F

A geometry-optimized TaHgPd2F structure (PBE, Alexandria via LeMat-Bulk).

## Properties
* ρ: 11.64 Mg/m³
* M_tot: 1.21 μB/cell
* raw total energy: -4.430 eV per atom
* N(E_F): 5.0 states/eV per cell
* space group: P4/mmm

abc: 4.255 4.831 4.255
angles: 90.00 90.00 90.00
Element x y z (fractional)
Pd1 0.500 0.000 0.000
Pd2 0.000 0.000 0.500
F1 0.000 0.000 0.000
Hg1 0.000 0.500 0.000
Ta1 0.500 0.500 0.500

=====

# BPb2O4

A geometry-optimized BPb2O4 structure (PBE, Alexandria via LeMat-Bulk).

## Properties
* ρ: 7.47 Mg/m³
* M_tot: 1.02 μB/cell
* raw total energy: -5.836 eV per atom
* N(E_F): 1.1 states/eV per cell
* space group: P4/mmm

abc: 3.438 5.626 5.626
angles: 90.00 90.00 90.00
Element x y z (fractional)
Pb1 0.500 0.500 0.000
Pb2 0.500 0.000 0.500
O1 0.000 0.196 0.196
O2 0.000 0.196 0.804
O3 0.000 0.804 0.196
O4 0.000 0.804 0.804
B1 0.000 0.000 0.000

=====

# PrNd2Er2

A geometry-optimized PrNd2Er2 structure (PBE, Alexandria via LeMat-Bulk).

## Properties
* ρ: 7.44 Mg/m³
* M_tot: 0.00 μB/cell
* raw total energy: -4.604 eV per atom
* N(E_F): 10.9 states/eV per cell
* space group: P4/mbm

abc: 3.837 9.425 9.425
angles: 90.00 90.00 90.00
Element x y z (fractional)
Pr1 0.000 0.500 0.500
Pr2 0.000 0.000 0.000
Er1 0.500 0.831 0.669
Er2 0.500 0.669 0.169
Er3 0.500 0.169 0.331
Er4 0.500 0.331 0.831
Nd1 0.000 0.871 0.371
Nd2 0.000 0.129 0.629
Nd3 0.000 0.629 0.871
Nd4 0.000 0.371 0.129